A plane-wave DFT calculation with GGA-PBE was carried out for a geometry-optimized TlTe2Au2Se6 structure.

```
TlTe2Au2Se6
1.0
7.5305 -2.0404 0.6713
0.9864 8.1998 0.9487
1.9772 -4.9384 6.3580
Se Tl Te Au
6 1 2 2
Cartesian
4.5636 4.8602 1.2234
2.4028 4.0195 4.7182
8.0913 -2.7985 3.2598
5.9304 -3.6392 6.7546
2.2528 -2.4090 5.3305
8.2413 3.6300 2.6475
4.7538 -3.4894 3.5146
8.0330 -2.0912 6.6536
2.4610 3.3122 1.3244
0.4956 0.9874 0.8885
9.9985 0.2336 7.0895
```

Summary:
* ΔE_f (raw): 4 kJ/mol of formula units
* V: 38.4 Å³ per atom
* space-group type: P-1
* density: 5.2 Mg/m³
* D(E_F): 4.17 states/eV per cell

=====

A plane-wave DFT calculation with GGA-PBE was carried out for a geometry-optimized TlTeAuSe3 structure.

```
TlTeAuSe3
1.0
4.0141 0.0000 0.0000
0.0000 8.6019 0.4694
0.0000 -1.7550 10.0213
Se Tl Au Te
6 2 2 2
Cartesian
1.0035 3.3780 8.6981
3.0106 7.4228 1.3087
3.0106 3.4690 1.7927
1.0035 5.4742 4.4032
3.0106 1.3727 6.0876
1.0035 -0.5759 9.1821
1.0035 0.9032 2.4344
3.0106 5.9438 8.0564
3.0106 6.9151 5.0421
1.0035 -0.0682 5.4486
1.0035 5.4938 1.6191
3.0106 1.3532 8.8716
```

Summary:
* ΔE_f (raw): -64 kJ/mol of formula units
* V: 29.1 Å³ per atom
* space-group type: P2_1/m
* density: 7.3 Mg/m³
* D(E_F): 1.02 states/eV per cell

=====

A plane-wave DFT calculation with GGA-PBE was carried out for a geometry-optimized Tm6TeAu2Se3 structure.

```
Tm6TeAu2Se3
1.0
3.9975 0.0000 0.0000
0.0000 8.4677 -0.0763
-1.9987 -2.8336 8.7784
Tm Se Te Au
6 3 1 2
Cartesian
1.9987 4.2531 2.7595
1.9987 0.0645 3.0996
0.0000 5.5697 5.6026
0.0000 2.2552 0.2160
1.9987 3.3790 8.4861
0.0000 1.3811 5.9426
1.9987 -0.7520 6.0075
1.9987 4.2339 -0.0382
0.0000 6.3862 2.6947
1.9987 0.0000 0.0000
0.0000 2.1745 3.1745
1.9987 3.4596 5.5277
```

Summary:
* ΔE_f (raw): -1534 kJ/mol of formula units
* V: 24.7 Å³ per atom
* space-group type: C2/m
* density: 9.9 Mg/m³
* D(E_F): 4.47 states/eV per cell

=====

A plane-wave DFT calculation with GGA-PBE was carried out for a geometry-optimized Tm6Te3AuSe2 structure.

```
Tm6Te3AuSe2
1.0
7.2448 0.0097 0.0086
-3.6122 6.2801 0.0086
-1.2031 -2.0831 6.9559
Tm Te Se Au
6 3 2 1
Cartesian
0.0913 4.2043 5.4360
3.5960 2.1803 5.4360
-0.0359 -0.0622 5.3928
-1.1664 2.0265 1.5370
2.4655 4.2690 1.5802
2.3382 0.0025 1.5370
1.2148 2.1034 3.4865
-2.3345 4.1532 3.4865
4.7641 0.0535 3.4865
3.6064 2.1111 0.0086
0.0263 4.1787 0.0086
0.0000 0.0000 0.0000
```

Summary:
* ΔE_f (raw): -1545 kJ/mol of formula units
* V: 26.4 Å³ per atom
* space-group type: C2/m
* density: 9.2 Mg/m³
* D(E_F): 4.03 states/eV per cell

=====

A plane-wave DFT calculation with GGA-PBE was carried out for a geometry-optimized Tm4TeAuSe2 structure.

```
Tm4TeAuSe2
1.0
-2.8487 -0.0663 2.8082
1.6377 -6.9722 1.4968
5.0552 -0.0442 5.1272
Au Tm Se Te
1 4 2 1
Cartesian
3.3465 -3.5081 3.3120
4.9426 -5.3523 4.8876
-1.0984 -1.7304 4.5445
1.1418 -5.2621 3.8838
2.7025 -1.8205 5.5483
1.1033 -0.0552 3.9677
5.0552 -0.0442 5.1272
4.4497 -3.5634 7.2796
```

Summary:
* ΔE_f (raw): -1028 kJ/mol of formula units
* V: 25.1 Å³ per atom
* space-group type: P2/m
* density: 9.6 Mg/m³
* D(E_F): 4.72 states/eV per cell

=====

A plane-wave DFT calculation with GGA-PBE was carried out for a geometry-optimized U2Te2AuSe2 structure.

```
U2Te2AuSe2
1.0
4.6624 0.0000 0.0000
-2.3312 4.0377 0.0000
0.0000 0.0000 12.6133
Te U Au Se
2 2 1 2
Cartesian
0.0000 0.0000 2.5925
0.0000 0.0000 10.0207
0.0000 2.6918 8.2993
2.3312 1.3459 4.3140
0.0000 0.0000 0.0000
2.3312 1.3459 7.3118
0.0000 2.6918 5.3014
```

Summary:
* ΔE_f (raw): -440 kJ/mol of formula units
* V: 33.9 Å³ per atom
* space-group type: P-3m1
* density: 7.6 Mg/m³
* D(E_F): 12.87 states/eV per cell

=====

A plane-wave DFT calculation with GGA-PBE was carried out for a geometry-optimized Y8Te4AuSe3 structure.

```
Y8Te4AuSe3
1.0
8.4562 0.0000 0.0000
0.0000 8.5646 0.0698
-4.2281 -4.2248 5.9818
Se Y Te Au
3 8 4 1
Cartesian
-2.1140 2.1699 3.0258
4.2281 4.2823 0.0349
2.1140 2.1699 3.0258
0.0000 4.1743 2.9026
6.3730 2.3076 0.1125
2.0832 2.3076 0.1125
-2.1449 2.0322 5.9391
2.1449 2.0322 5.9391
4.2281 4.1302 2.9147
4.2281 0.1655 3.1490
0.0000 0.2096 3.1369
-2.1140 -2.1124 2.9909
2.1140 -2.1124 2.9909
0.0000 0.0000 0.0000
4.2281 0.0000 0.0000
0.0000 4.2823 0.0349
```

Summary:
* ΔE_f (raw): -2240 kJ/mol of formula units
* V: 27.2 Å³ per atom
* space-group type: R-3m
* density: 6.3 Mg/m³
* D(E_F): 7.16 states/eV per cell

=====

A plane-wave DFT calculation with GGA-PBE was carried out for a geometry-optimized Y4TeAuSe2 structure.

```
Y4TeAuSe2
1.0
4.0822 0.0000 0.0000
0.0000 7.3876 -0.2520
0.0000 2.4977 6.8337
Y Te Se Au
4 1 2 1
Cartesian
4.0822 2.3980 1.7605
2.0411 6.2117 1.5871
0.0001 7.4873 4.8213
2.0411 3.6735 4.9947
2.0411 6.1915 6.7077
0.0000 2.4977 6.8337
2.0411 1.2488 3.4169
0.0000 4.9426 3.2909
```

Summary:
* ΔE_f (raw): -1093 kJ/mol of formula units
* V: 26.1 Å³ per atom
* space-group type: P2/m
* density: 6.7 Mg/m³
* D(E_F): 5.56 states/eV per cell

=====

A plane-wave DFT calculation with GGA-PBE was carried out for a geometry-optimized Y4Te2AuSe structure.

```
Y4Te2AuSe
1.0
4.1561 0.0000 0.0000
0.0000 7.4798 -0.2183
0.0000 2.5684 7.0185
Y Se Te Au
4 1 2 1
Cartesian
4.1561 2.6691 1.6525
0.0001 7.3791 5.1477
2.0781 6.0971 1.6915
2.0781 3.9512 5.1087
2.0781 3.7399 -0.1092
2.0781 1.2842 3.5093
0.0000 2.5684 7.0185
0.0000 5.0241 3.4001
```

Summary:
* ΔE_f (raw): -1026 kJ/mol of formula units
* V: 27.6 Å³ per atom
* space-group type: P2/m
* density: 6.7 Mg/m³
* D(E_F): 5.32 states/eV per cell

=====

A plane-wave DFT calculation with GGA-PBE was carried out for a geometry-optimized Y6Te3AuSe2 structure.

```
Y6Te3AuSe2
1.0
-7.2649 1.0354 -0.1129
2.8304 -5.6662 3.7077
1.9506 5.5422 4.5672
Y Se Au Te
6 2 1 3
Cartesian
-2.2718 1.2396 1.2542
-2.8762 -2.2067 3.7293
1.0366 -0.9565 2.5062
0.3923 3.1182 4.4328
-3.5204 1.8680 5.6559
-0.2121 -0.3282 6.9079
-0.5481 -3.4234 2.4291
-3.8864 -1.2074 1.1658
0.0000 0.0000 0.0000
-4.5674 2.6633 2.8225
2.0835 -1.7518 5.3396
-1.2419 0.4557 4.0810
```

Summary:
* ΔE_f (raw): -1649 kJ/mol of formula units
* V: 27.4 Å³ per atom
* space-group type: C2/m
* density: 6.4 Mg/m³
* D(E_F): 4.60 states/eV per cell

=====

A plane-wave DFT calculation with GGA-PBE was carried out for a geometry-optimized ZrTeAu2Se structure.

```
ZrTeAu2Se
1.0
-4.6210 1.1109 -1.4390
-1.6551 -4.5678 1.7884
-0.8859 2.0563 4.4323
Au Te Zr Se
2 1 1 1
Cartesian
-2.3105 0.5555 -0.7195
-0.4430 1.0282 2.2161
-3.5810 -0.7003 2.3908
-0.8275 -2.2839 0.8942
0.0000 0.0000 0.0000
```

Summary:
* ΔE_f (raw): 92 kJ/mol of formula units
* V: 25.5 Å³ per atom
* space-group type: P4/mmm
* density: 9.0 Mg/m³
* D(E_F): 5.52 states/eV per cell

=====

A plane-wave DFT calculation with GGA-PBE was carried out for a geometry-optimized ThAuSe structure.

```
ThAuSe
1.0
4.6769 0.0000 0.0000
2.3384 4.0503 0.0000
2.3384 1.3501 8.9173
Au Se Th
2 2 2
Cartesian
7.0153 4.0503 3.6754
2.3384 1.3501 5.2419
4.6769 2.7002 7.9022
4.6769 2.7002 1.0151
2.3384 1.3501 2.1401
7.0153 4.0503 6.7772
```

Summary:
* ΔE_f (raw): -304 kJ/mol of formula units
* V: 28.2 Å³ per atom
* space-group type: R-3m
* density: 10.0 Mg/m³
* D(E_F): 3.01 states/eV per cell

=====

Repeat the fourth record exactly.
A plane-wave DFT calculation with GGA-PBE was carried out for a geometry-optimized Tm6Te3AuSe2 structure.

```
Tm6Te3AuSe2
1.0
7.2448 0.0097 0.0086
-3.6122 6.2801 0.0086
-1.2031 -2.0831 6.9559
Tm Te Se Au
6 3 2 1
Cartesian
0.0913 4.2043 5.4360
3.5960 2.1803 5.4360
-0.0359 -0.0622 5.3928
-1.1664 2.0265 1.5370
2.4655 4.2690 1.5802
2.3382 0.0025 1.5370
1.2148 2.1034 3.4865
-2.3345 4.1532 3.4865
4.7641 0.0535 3.4865
3.6064 2.1111 0.0086
0.0263 4.1787 0.0086
0.0000 0.0000 0.0000
```

Summary:
* ΔE_f (raw): -1545 kJ/mol of formula units
* V: 26.4 Å³ per atom
* space-group type: C2/m
* density: 9.2 Mg/m³
* D(E_F): 4.03 states/eV per cell

=====

ΔE_f (raw) of number 12 (ThAuSe)? -304 kJ/mol of formula units